Density functional theory data (PBE-GGA) for crystalline NdGdTl2 at its relaxed geometry.

**Energy of formation from the pure elements**: -0.27 eV per atom
**Magnetic moment**: 7.032 μB/cell

```
NdGdTl2
1.0
1.9145 1.1053 9.8009
-1.9145 1.1053 9.8009
0.0000 -2.2107 9.8009
Nd Gd Tl
1 1 2
Direct
0.0000 0.0000 0.0000
0.5000 0.5000 0.5000
0.2485 0.2485 0.2485
0.7515 0.7515 0.7515
```

***

Density functional theory data (PBE-GGA) for crystalline Li3SnF at its relaxed geometry.

**Magnetic moment**: 0.000 μB/cell
**Uncorrected formation energy**: -1.2535 eV per atom

```
Li3SnF
1.0
4.2038 0.0000 0.0000
0.0000 4.2038 0.0000
0.0000 0.0000 4.2038
Li Sn F
3 1 1
Direct
0.0000 0.0000 0.5000
0.0000 0.5000 0.0000
0.5000 0.0000 0.0000
0.5000 0.5000 0.5000
0.0000 0.0000 0.0000
```

***

Density functional theory data (PBE-GGA) for crystalline CaFeRe3 at its relaxed geometry.

**Energy of formation from the pure elements**: 1.27 eV per atom
**Magnetic moment**: 0.000 μB/cell

```
CaFeRe3
1.0
4.5273 0.0000 0.0000
0.0000 4.5273 0.0000
0.0000 0.0000 4.5273
Ca Fe Re
1 1 3
Direct
0.0000 0.0000 0.0000
0.5000 0.5000 0.5000
0.0000 0.5000 0.5000
0.5000 0.0000 0.5000
0.5000 0.5000 0.0000
```

***

Density functional theory data (PBE-GGA) for crystalline ZrGaAu3 at its relaxed geometry.

**Energy of formation from the pure elements**: 0.24 eV per atom
**Magnetic moment**: 0.909 μB/cell

```
ZrGaAu3
1.0
4.7747 0.0000 0.0000
0.0000 4.7747 0.0000
0.0000 0.0000 4.7747
Zr Ga Au
1 1 3
Direct
0.0000 0.0000 0.0000
0.5000 0.5000 0.5000
0.0000 0.5000 0.5000
0.5000 0.0000 0.5000
0.5000 0.5000 0.0000
```

***

Density functional theory data (PBE-GGA) for crystalline CrAs2Au at its relaxed geometry.

**Energy of formation from the pure elements**: 0.26 eV per atom
**Magnetic moment**: 3.106 μB/cell

```
CrAs2Au
1.0
-2.8330 2.8330 5.7297
2.8330 -2.8330 5.7297
2.8330 2.8330 -5.7297
Cr As Au
2 4 2
Direct
0.0000 0.0000 0.0000
0.7500 0.2500 0.5000
0.0930 0.6250 0.9680
0.3750 0.3430 0.4680
0.6570 0.1250 0.0320
0.8750 0.9070 0.5320
0.2500 0.7500 0.5000
0.5000 0.5000 0.0000
```

***

Density functional theory data (PBE-GGA) for crystalline KLiCr2 at its relaxed geometry.

**Energy of formation from the pure elements**: 1.06 eV per atom
**Magnetic moment**: 9.484 μB/cell

```
KLiCr2
1.0
3.0817 0.0000 0.0000
0.0000 4.7196 0.0000
-1.3281 0.0000 7.4240
K Li Cr
1 1 2
Direct
0.0000 0.0000 0.0000
0.0000 0.0000 0.5000
0.3732 0.5000 0.6711
0.6268 0.5000 0.3289
```

***

Density functional theory data (PBE-GGA) for crystalline TiV3In at its relaxed geometry.

**Energy of formation from the pure elements**: 1.03 eV per atom
**Magnetic moment**: 0.000 μB/cell

```
TiV3In
1.0
4.4635 0.0000 0.0000
0.0000 4.4635 0.0000
0.0000 0.0000 4.4635
Ti V In
1 3 1
Direct
0.0000 0.0000 0.0000
0.0000 0.0000 0.5000
0.0000 0.5000 0.0000
0.5000 0.0000 0.0000
0.5000 0.5000 0.5000
```

***

Density functional theory data (PBE-GGA) for crystalline PmI2O8 at its relaxed geometry.

**Magnetic moment**: 0.000 μB/cell
**Uncorrected formation energy**: -0.7696 eV per atom

```
PmI2O8
1.0
4.7154 -3.5380 0.0000
4.7154 3.5380 0.0000
-2.0455 0.0000 5.4899
Pm I O
1 2 8
Direct
0.0000 0.0000 0.0000
0.3311 0.3311 0.6673
0.6689 0.6689 0.3327
0.1814 0.1814 0.8078
0.2517 0.6615 0.7457
0.2535 0.2535 0.3353
0.3385 0.7483 0.2543
0.6615 0.2517 0.7457
0.7465 0.7465 0.6647
0.7483 0.3385 0.2543
0.8186 0.8186 0.1921
```

***

What is the magnetic moment in the second record?
0.000 μB/cell